Record 1
PBE-GGA Nd5PuSe8, optimized geometry; formation energy without anion corrections = -1.824 eV per atom; SG = I-4, No. 82; DOS(E_F) = 14.2 states/eV/cell
1.0
7.298 0.000 -2.551
-3.622 6.320 -2.590
-0.055 0.000 7.731
Se Nd Pu
8 5 1
Direct
0.476 0.599 0.226
0.974 0.102 0.724
0.774 0.249 0.373
0.128 0.750 0.026
0.627 0.401 0.876
0.124 0.751 0.524
0.276 0.250 0.378
0.622 0.898 0.872
0.003 0.376 0.128
0.500 0.000 0.500
0.872 0.875 0.247
0.753 0.624 0.628
0.372 0.125 0.997
0.250 0.500 0.750

Record 2
PBE-GGA Nd2PuSe4, optimized geometry; formation energy without anion corrections = -1.780 eV per atom; distance to the lowest polymorph of the same formula = 0.00 eV/f.u.; SG = I-42d, No. 122; DOS(E_F) = 23.0 states/eV/cell
1.0
7.259 0.000 -2.601
-3.627 6.307 -2.555
-0.004 0.000 7.711
Nd Se Pu
4 8 2
Direct
0.875 0.124 0.499
0.375 0.876 0.751
0.501 0.376 0.625
0.249 0.624 0.125
0.776 0.251 0.877
0.627 0.751 0.026
0.275 0.249 0.876
0.974 0.601 0.725
0.475 0.101 0.224
0.123 0.899 0.374
0.124 0.399 0.373
0.626 0.749 0.525
0.750 0.500 0.250
0.000 0.000 0.000

Record 3
PBE-GGA Nd4PuSe4, optimized geometry; formation energy without anion corrections = -1.500 eV per atom; SG = I4/m, No. 87; DOS(E_F) = 13.8 states/eV/cell
1.0
-4.578 3.750 -0.583
-5.268 -0.961 4.859
0.681 6.131 3.769
Nd Se Pu
4 4 1
Direct
0.400 0.398 0.803
0.202 0.197 0.398
0.600 0.602 0.197
0.798 0.803 0.602
0.298 0.798 0.606
0.702 0.202 0.394
0.096 0.606 0.203
0.904 0.394 0.797
0.000 0.000 0.000

Record 4
PBE-GGA Nd4PuSe7, optimized geometry; formation energy without anion corrections = -1.799 eV per atom; SG = Cm, No. 8; DOS(E_F) = 14.1 states/eV/cell
1.0
4.118 0.000 0.000
-2.059 6.668 -1.772
0.000 0.001 12.503
Se Nd Pu
7 4 1
Direct
0.961 0.921 0.216
0.497 0.994 0.500
0.265 0.529 0.651
0.040 0.079 0.782
0.661 0.322 0.050
0.339 0.678 0.950
0.739 0.477 0.350
0.303 0.606 0.193
0.697 0.394 0.807
0.115 0.231 0.426
0.000 0.000 0.999
0.884 0.768 0.576

Record 5
PBE-GGA Nd2PuSe4, optimized geometry; formation energy without anion corrections = -1.725 eV per atom; distance to the lowest polymorph of the same formula = 0.38 eV/f.u.; SG = Cmcm, No. 63; DOS(E_F) = 32.0 states/eV/cell
1.0
-3.078 -2.750 0.149
5.937 -3.415 2.366
-2.944 4.007 13.170
Se Nd Pu
8 4 2
Direct
0.776 0.552 0.375
0.224 0.448 0.625
0.776 0.552 0.125
0.970 0.940 0.750
0.500 0.000 0.500
0.030 0.060 0.250
0.224 0.448 0.875
0.500 0.000 0.000
0.867 0.734 0.570
0.133 0.266 0.430
0.867 0.734 0.930
0.133 0.266 0.070
0.621 0.242 0.750
0.379 0.758 0.250

Record 6
PBE-GGA Nd3PuSe4, optimized geometry; formation energy without anion corrections = -1.776 eV per atom; distance to the lowest polymorph of the same formula = 0.03 eV/f.u.; SG = Cmmm, No. 65; DOS(E_F) = 10.2 states/eV/cell
1.0
4.192 0.000 0.000
0.000 7.301 -0.052
0.000 -2.351 6.912
Se Nd Pu
4 3 1
Direct
0.000 0.245 0.245
0.500 0.247 0.753
0.000 0.755 0.755
0.500 0.753 0.247
0.000 0.500 0.000
0.000 0.000 0.500
0.500 0.500 0.500
0.500 0.000 0.000

Record 7
PBE-GGA Nd3Pu5Se12, optimized geometry; formation energy without anion corrections = -1.367 eV per atom; SG = Ia-3d, No. 230; DOS(E_F) = 278.2 states/eV/cell
1.0
-2.333 14.231 -3.398
-11.117 -4.946 8.454
12.775 -1.282 7.394
Pu Se Nd
20 48 12
Direct
0.375 0.250 0.125
0.625 0.750 0.875
0.250 0.375 0.625
0.000 0.000 0.000
0.750 0.125 0.875
0.000 0.500 0.500
0.375 0.125 0.750
0.500 0.500 0.000
0.750 0.625 0.375
0.125 0.375 0.250
0.000 0.500 0.000
0.250 0.875 0.125
0.000 0.000 0.500
0.875 0.250 0.625
0.625 0.875 0.250
0.500 0.500 0.500
0.875 0.625 0.750
0.125 0.750 0.375
0.500 0.000 0.500
0.500 0.000 0.000
0.673 0.223 0.592
0.277 0.869 0.949
0.592 0.723 0.673
0.908 0.827 0.777
0.327 0.777 0.408
0.131 0.723 0.551
0.080 0.908 0.131
0.723 0.592 0.173
0.131 0.408 0.080
0.631 0.051 0.223
0.551 0.223 0.131
0.408 0.277 0.327
0.420 0.369 0.592
0.420 0.051 0.327
0.369 0.949 0.777
0.673 0.449 0.580
0.173 0.092 0.723
0.869 0.277 0.449
0.869 0.592 0.920
0.551 0.327 0.920
0.949 0.369 0.277
0.449 0.777 0.869
0.051 0.420 0.827
0.327 0.551 0.420
0.631 0.580 0.908
0.827 0.920 0.051
0.369 0.420 0.092
0.777 0.327 0.908
0.080 0.173 0.449
0.051 0.631 0.723
0.908 0.080 0.631
0.920 0.092 0.869
0.920 0.827 0.551
0.449 0.673 0.080
0.949 0.580 0.173
0.092 0.173 0.223
0.173 0.080 0.949
0.777 0.449 0.369
0.580 0.949 0.673
0.580 0.631 0.408
0.592 0.869 0.420
0.092 0.920 0.369
0.277 0.408 0.827
0.223 0.551 0.631
0.223 0.673 0.092
0.723 0.131 0.051
0.408 0.131 0.580
0.827 0.908 0.277
0.625 0.250 0.375
0.375 0.750 0.625
0.625 0.375 0.750
0.750 0.375 0.125
0.125 0.250 0.875
0.875 0.125 0.250
0.750 0.875 0.625
0.125 0.875 0.750
0.375 0.625 0.250
0.250 0.625 0.875
0.875 0.750 0.125
0.250 0.125 0.375

Record 8
PBE-GGA Nd4Pu3Se8, optimized geometry; formation energy without anion corrections = -1.733 eV per atom; SG = C2/m, No. 12; DOS(E_F) = 32.6 states/eV/cell
1.0
8.377 -0.118 -0.169
-4.086 7.305 0.129
-4.086 -2.415 6.896
Se Pu Nd
8 3 4
Direct
0.000 0.253 0.747
0.996 0.744 0.744
0.004 0.256 0.256
0.505 0.254 0.254
0.500 0.252 0.748
0.000 0.747 0.253
0.500 0.748 0.252
0.495 0.746 0.746
0.500 0.000 0.500
0.500 0.500 0.500
0.500 0.500 0.000
0.000 0.500 0.000
0.500 0.000 0.000
0.000 0.000 0.000
0.000 0.000 0.500

Record 9
PBE-GGA Nd5Pu3Se8, optimized geometry; formation energy without anion corrections = -1.740 eV per atom; SG = R-3m, No. 166; DOS(E_F) = 29.2 states/eV/cell
1.0
7.270 0.000 4.164
2.442 6.847 4.164
0.007 0.005 8.415
Nd Se Pu
5 8 3
Direct
0.500 0.000 0.000
0.500 0.500 0.500
0.000 0.500 0.000
0.500 0.500 0.000
0.000 0.000 0.000
0.750 0.245 0.255
0.250 0.755 0.745
0.755 0.250 0.745
0.245 0.750 0.255
0.750 0.750 0.255
0.753 0.753 0.742
0.247 0.247 0.258
0.250 0.250 0.745
0.000 0.500 0.500
0.500 0.000 0.500
0.000 0.000 0.500

Record 10
PBE-GGA Nd2PuSe3, optimized geometry; formation energy without anion corrections = -1.757 eV per atom; SG = Immm, No. 71; DOS(E_F) = 9.2 states/eV/cell
1.0
-3.927 1.449 -0.300
-0.066 -1.372 -5.774
-0.231 -5.786 4.428
Nd Se Pu
2 3 1
Direct
0.169 0.169 0.839
0.831 0.831 0.161
0.838 0.338 0.177
0.500 0.000 0.500
0.162 0.662 0.823
0.500 0.500 0.500

Record 11
PBE-GGA Nd4PuSe5, optimized geometry; formation energy without anion corrections = -1.789 eV per atom; SG = I4/m, No. 87; DOS(E_F) = 11.1 states/eV/cell
1.0
-2.834 -5.242 0.052
4.010 -5.529 2.571
-3.630 -1.364 6.182
Se Pu Nd
5 1 4
Direct
0.501 0.000 0.000
0.706 0.196 0.394
0.902 0.394 0.804
0.296 0.804 0.606
0.100 0.606 0.196
0.001 0.000 0.000
0.801 0.796 0.604
0.597 0.604 0.204
0.201 0.204 0.396
0.405 0.396 0.796

Record 12
PBE-GGA NdPu5Se6, optimized geometry; formation energy without anion corrections = -1.585 eV per atom; SG = C2/m, No. 12; DOS(E_F) = 48.0 states/eV/cell
1.0
-1.718 0.114 7.002
5.757 -3.722 -2.236
2.549 6.706 -0.721
Se Pu Nd
6 5 1
Direct
0.423 0.085 0.253
0.085 0.423 0.253
0.745 0.745 0.252
0.915 0.577 0.747
0.577 0.915 0.747
0.255 0.255 0.748
0.667 0.333 0.000
0.835 0.165 0.500
0.500 0.500 0.500
0.165 0.835 0.500
0.333 0.667 0.000
0.000 0.000 0.000

Record 13
PBE-GGA NdPu2Se4, optimized geometry; formation energy without anion corrections = -1.623 eV per atom; SG = Cmcm, No. 63; DOS(E_F) = 38.5 states/eV/cell
1.0
-2.354 -3.187 -1.013
5.116 0.415 -4.938
8.072 -8.394 7.658
Se Nd Pu
8 2 4
Direct
0.037 0.073 0.250
0.500 0.000 0.000
0.500 0.000 0.500
0.774 0.549 0.124
0.774 0.549 0.376
0.963 0.927 0.750
0.226 0.451 0.624
0.226 0.451 0.876
0.381 0.762 0.250
0.619 0.238 0.750
0.867 0.734 0.566
0.133 0.266 0.434
0.867 0.734 0.934
0.133 0.266 0.066

Record 14
PBE-GGA NdPu6Se8, optimized geometry; formation energy without anion corrections = -1.582 eV per atom; SG = Fm-3m, No. 225; DOS(E_F) = 60.0 states/eV/cell
1.0
7.196 0.000 4.154
2.399 6.784 4.154
0.000 0.000 8.309
Se Nd Pu
8 1 6
Direct
0.750 0.750 0.750
0.254 0.746 0.746
0.254 0.254 0.746
0.746 0.254 0.254
0.254 0.746 0.254
0.250 0.250 0.250
0.746 0.746 0.254
0.746 0.254 0.746
0.000 0.000 0.000
0.500 0.000 0.000
0.000 0.000 0.500
0.000 0.500 0.500
0.000 0.500 0.000
0.500 0.500 0.000
0.500 0.000 0.500

Record 15
PBE-GGA NdSm2PuSe4, optimized geometry; formation energy without anion corrections = -1.767 eV per atom; SG = P2/m, No. 10; DOS(E_F) = 10.1 states/eV/cell
1.0
4.162 0.000 0.000
0.000 7.251 0.143
0.000 -2.516 6.796
Se Pu Sm Nd
4 1 2 1
Direct
0.500 0.746 0.748
0.500 0.254 0.252
0.000 0.253 0.750
0.000 0.747 0.250
0.500 0.500 0.000
0.000 0.500 0.500
0.500 0.000 0.500
0.000 0.000 0.000

Record 16
PBE-GGA Nd3Sm3PuSe8, optimized geometry; formation energy without anion corrections = -1.821 eV per atom; SG = R-3m, No. 166; DOS(E_F) = 16.8 states/eV/cell
1.0
8.368 0.000 0.000
-4.184 7.247 -0.025
0.000 -4.807 6.873
Pu Sm Nd Se
1 3 3 8
Direct
0.000 0.000 0.500
0.500 0.000 0.500
0.500 0.500 0.500
0.000 0.500 0.500
0.000 0.500 0.000
0.500 0.500 0.000
0.000 0.000 0.000
0.748 0.497 0.745
0.254 0.003 0.252
0.746 0.997 0.748
0.251 0.502 0.748
0.749 0.498 0.252
0.251 0.997 0.748
0.749 0.003 0.252
0.252 0.503 0.255

Record 17
PBE-GGA Nd3Sm2PuSe6, optimized geometry; formation energy without anion corrections = -1.795 eV per atom; SG = C2/m, No. 12; DOS(E_F) = 10.3 states/eV/cell
1.0
-3.074 -2.635 -1.019
3.860 -1.679 -7.307
5.000 -4.934 6.230
Se Pu Nd Sm
6 1 3 2
Direct
0.331 0.420 0.663
0.000 0.245 0.001
0.000 0.755 0.999
0.335 0.914 0.670
0.665 0.086 0.330
0.669 0.580 0.337
0.500 0.000 0.000
0.167 0.835 0.334
0.500 0.500 0.000
0.833 0.165 0.666
0.165 0.330 0.329
0.835 0.670 0.671